A relaxed Tl3In12Ga5 crystal, computed with PBE-GGA.

abc: 16.883 16.883 16.883
angles: 90.00 90.00 90.00
Space group Ia-3d (No. 230)
One atom of each set of equivalent atoms:
Tl 0.000 0.250 0.125 x24
In 0.027 0.073 0.645 x96
Ga 0.000 0.000 0.000 x16
Ga 0.000 0.250 0.375 x24

A relaxed Tl2InGa crystal, computed with PBE-GGA.

abc: 8.373 8.373 6.503
angles: 90.00 90.00 90.00
Space group I-42d (No. 122)
One atom of each set of equivalent atoms:
Tl 0.224 0.250 0.125 x8
In 0.000 0.000 0.500 x4
Ga 0.000 0.000 0.000 x4

Computed properties:
Excess energy over the best structure of this formula in the dataset, meV/atom: 75

A relaxed Tl2In2Ga crystal, computed with PBE-GGA.

abc: 8.219 8.219 4.316
angles: 90.00 90.00 90.00
Space group P4/mbm (No. 127)
One atom of each set of equivalent atoms:
Tl 0.155 0.345 0.000 x4
In 0.148 0.648 0.500 x4
Ga 0.000 0.000 0.000 x2

Computed properties:
Excess energy over the best structure of this formula in the dataset, meV/atom: 130

A relaxed TlInGa crystal, computed with PBE-GGA.

abc: 3.440 6.102 8.187
angles: 111.20 90.75 103.40
Space group P-1 (No. 2)
One atom of each set of equivalent atoms:
Tl 0.171 0.320 0.109 x2
In 0.481 0.941 0.280 x2
Ga 0.182 0.348 0.544 x2

Computed properties:
Excess energy over the best structure of this formula in the dataset, meV/atom: 13

A relaxed Tl2In9Ga4 crystal, computed with PBE-GGA.

abc: 4.8097 4.8097 20.4055
angles: 90.00 90.00 120.00
Space group P-3m1 (No. 164)
One atom of each set of equivalent atoms:
Tl 0.3333 0.6667 0.2662 x2
In 0.0000 0.0000 0.0000 x1
In 0.0000 0.0000 0.1778 x2
In 0.0000 0.0000 0.3556 x2
In 0.3333 0.6667 0.0754 x2
In 0.3333 0.6667 0.4555 x2
Ga 0.3333 0.6667 0.6035 x2
Ga 0.3333 0.6667 0.8647 x2

A relaxed TlIn10Ga3 crystal, computed with PBE-GGA.

abc: 14.559 14.559 14.559
angles: 90.00 90.00 90.00
Space group Fm-3m (No. 225)
One atom of each set of equivalent atoms:
Tl 0.250 0.250 0.250 x8
In 0.000 0.173 0.173 x48
In 0.124 0.124 0.376 x32
Ga 0.000 0.000 0.274 x24

A relaxed TlIn12Ga6 crystal, computed with PBE-GGA.

abc: 13.7659 13.7659 9.1539
angles: 90.00 90.00 120.00
Space group R-3m (No. 166, hexagonal axes)
One atom of each set of equivalent atoms:
Tl 0.0000 0.0000 0.0000 x3
In 0.0000 0.3888 0.5000 x18
In 0.0782 0.1564 0.3283 x18
Ga 0.0174 0.5087 0.2232 x18

Computed properties:
Excess energy over the best structure of this formula in the dataset, meV/atom: 30

A relaxed Tl12In7Ga crystal, computed with PBE-GGA.

abc: 13.3920 13.3920 11.3795
angles: 90.00 90.00 120.00
Space group R-3 (No. 148, hexagonal axes)
One atom of each set of equivalent atoms:
Tl 0.0010 0.2621 0.0012 x18
Tl 0.0832 0.1696 0.7517 x18
In 0.0000 0.0000 0.0000 x3
In 0.0673 0.5327 0.1174 x18
Ga 0.0000 0.0000 0.5000 x3

A relaxed TlIn6Ga3 crystal, computed with PBE-GGA.

abc: 9.596 4.465 12.917
angles: 90.00 106.09 90.00
Space group P2_1/m (No. 11)
One atom of each set of equivalent atoms:
Tl 0.031 0.250 0.256 x2
In 0.082 0.250 0.950 x2
In 0.225 0.750 0.421 x2
In 0.260 0.750 0.172 x2
In 0.281 0.750 0.699 x2
In 0.415 0.250 0.572 x2
In 0.434 0.250 0.080 x2
Ga 0.083 0.250 0.557 x2
Ga 0.273 0.750 0.930 x2
Ga 0.401 0.250 0.319 x2

A relaxed TlInGa3 crystal, computed with PBE-GGA.

abc: 13.119 6.047 5.934
angles: 90.00 90.00 90.00
Space group Pnna (No. 52)
One atom of each set of equivalent atoms:
Tl 0.250 0.000 0.077 x4
In 0.006 0.250 0.250 x4
Ga 0.040 0.750 0.250 x4
Ga 0.150 0.049 0.581 x8

Computed properties:
Excess energy over the best structure of this formula in the dataset, meV/atom: 0

A relaxed Tl3In3Ga crystal, computed with PBE-GGA.

abc: 6.960 9.673 12.030
angles: 90.00 98.50 90.00
Space group C2/m (No. 12)
One atom of each set of equivalent atoms:
Tl 0.000 0.172 0.000 x4
Tl 0.000 0.300 0.500 x4
Tl 0.064 0.500 0.874 x4
In 0.168 0.000 0.322 x4
In 0.212 0.202 0.762 x8
Ga 0.196 0.000 0.576 x4

Computed properties:
Excess energy over the best structure of this formula in the dataset, meV/atom: 0

A relaxed TlIn6Ga6 crystal, computed with PBE-GGA.

abc: 5.472 10.569 10.851
angles: 90.00 90.00 90.00
Space group Immm (No. 71)
One atom of each set of equivalent atoms:
Tl 0.000 0.000 0.000 x2
In 0.000 0.000 0.351 x4
In 0.000 0.316 0.500 x4
In 0.000 0.349 0.000 x4
Ga 0.000 0.500 0.279 x4
Ga 0.250 0.250 0.250 x8

A relaxed Tl4In7Ga crystal, computed with PBE-GGA.

abc: 3.4167 3.4167 32.8965
angles: 90.00 90.00 120.00
Space group P-3m1 (No. 164)
One atom of each set of equivalent atoms:
Tl 0.3333 0.6667 0.1578 x2
Tl 0.3333 0.6667 0.4134 x2
In 0.0000 0.0000 0.2445 x2
In 0.0000 0.0000 0.5000 x1
In 0.3333 0.6667 0.6732 x2
In 0.3333 0.6667 0.9289 x2
Ga 0.0000 0.0000 0.0000 x1

A relaxed TlInGa6 crystal, computed with PBE-GGA.

abc: 4.076 5.897 7.400
angles: 90.00 90.00 90.00
Space group Pmm2 (No. 25)
One atom of each set of equivalent atoms:
Tl 0.000 0.000 0.000 x1
In 0.500 0.500 0.143 x1
Ga 0.000 0.275 0.441 x2
Ga 0.000 0.500 0.817 x1
Ga 0.500 0.000 0.329 x1
Ga 0.500 0.229 0.694 x2

no.,energy of formation from the pure elements (meV per atom)
1,163
2,140
3,170
4,31
5,74
6,80
7,73
8,27
9,68
10,63
11,49
12,41
13,26
14,26